[1]
First-principles (PBE) data for an optimized crystal structure of LaSmMgAg, as listed in the Alexandria database.

M_tot (μB/f.u.): 0.0
Distance to the lowest polymorph of the same formula (meV per atom): 0
DFT formation energy (kJ/mol of formula units): -71
Density of states at the Fermi level (states/eV per cell): 3.08

abc: 3.861 3.861 7.541
angles: 90.00 90.00 90.00
Element x y z (fractional)
La  0.000  0.000  0.864
Sm  0.000  0.000  0.346
Mg  0.500  0.500  0.595
Ag  0.500  0.500  0.123



[2]
First-principles (PBE) data for an optimized crystal structure of Ac3Sn, as listed in the Alexandria database.

M_tot (μB/f.u.): 0.0
Distance to the lowest polymorph of the same formula (meV per atom): 248
DFT formation energy (kJ/mol of formula units): -53
Density of states at the Fermi level (states/eV per cell): 6.74

abc: 6.008 6.008 6.008
angles: 60.00 60.00 60.00
Element x y z (fractional)
Ac  0.000  0.000  0.000
Ac  0.750  0.750  0.750
Ac  0.250  0.250  0.250
Sn  0.500  0.500  0.500



[3]
First-principles (PBE) data for an optimized crystal structure of Rb2ScCuBr6, as listed in the Alexandria database.

M_tot (μB/f.u.): 0.1
Uncorrected formation energy (eV per atom): -1.43
Distance to the lowest polymorph of the same formula (meV per atom): 0
Density of states at the Fermi level (states/eV per cell): 0.00

abc: 8.059 8.494 9.679
angles: 90.00 90.00 90.00
Element x y z (fractional)
Rb  0.500  0.782  0.257
Rb  0.000  0.218  0.757
Rb  0.500  0.782  0.743
Rb  0.000  0.218  0.243
Sc  0.500  0.252  0.500
Sc  0.000  0.748  0.000
Cu  0.000  0.615  0.500
Cu  0.500  0.385  0.000
Br  0.500  0.242  0.223
Br  0.500  0.242  0.777
Br  0.000  0.758  0.277
Br  0.000  0.758  0.723
Br  0.265  0.039  0.500
Br  0.735  0.039  0.500
Br  0.275  0.491  0.500
Br  0.725  0.491  0.500
Br  0.775  0.509  0.000
Br  0.225  0.509  0.000
Br  0.235  0.961  0.000
Br  0.765  0.961  0.000



[4]
First-principles (PBE) data for an optimized crystal structure of CeTi2NiN4, as listed in the Alexandria database.

M_tot (μB/f.u.): 0.0
Uncorrected formation energy (eV per atom): -1.23
Density of states at the Fermi level (states/eV per cell): 5.23

abc: 3.146 5.479 10.603
angles: 90.00 90.00 106.68
Element x y z (fractional)
Ce  0.106  0.212  0.750
Ce  0.894  0.788  0.250
Ti  0.368  0.736  0.550
Ti  0.632  0.264  0.050
Ti  0.632  0.264  0.450
Ti  0.368  0.736  0.950
Ni  0.841  0.682  0.750
Ni  0.159  0.318  0.250
N  0.270  0.540  0.109
N  0.730  0.460  0.609
N  0.730  0.460  0.891
N  0.270  0.540  0.391
N  0.000  0.000  0.500
N  0.000  0.000  0.000
N  0.445  0.890  0.750
N  0.555  0.110  0.250



The evaluated energy for the records listed, in turn: -0.1362, -0.1551, -0.1349, -0.3246 Ha/atom.